DFT (PBE) results for a geometry-optimized Sr2Zn5Ru structure.

```
8
Lattice="1.2993 3.9434 -5.5498 2.4613 -6.2807 1.5917 -5.5785 -3.8559 1.4324" Properties=species:S:1:pos:R:3 pbc="T T T"
Sr 1.0090 -4.0019 -1.1338
Sr -3.0108 -2.7894 -1.2134
Zn 0.1465 -5.7560 1.5942
Zn -0.1949 -0.7928 -2.2287
Zn -1.7205 -5.7178 -0.2022
Zn -3.3613 -4.6980 1.5247
Zn -0.5018 -1.6316 0.4868
Ru -2.9315 -9.5326 2.8440
```

## Properties
space-group type: No. 107
DOS at the Fermi energy: 0.434 states/eV/atom
E_form: 0.0190 eV/atom